(1)
Here is a relaxed LaTa2Mn crystal from Alexandria. Energies are from PBE.

```
4
Lattice="0.0000 3.3093 3.3093 3.3093 0.0000 3.3093 3.3093 3.3093 0.0000" Properties=species:S:1:pos:R:3 pbc="T T T"
La 0.0000 0.0000 0.0000
Ta 1.6547 1.6547 1.6547
Ta 4.9640 4.9640 4.9640
Mn 3.3093 3.3093 3.3093
```

* energy: -8.840 eV/atom
* calculated formation energy: 0.61 eV per atom
* N(E_F): 4.9 states/eV/cell
* theoretical density: 12731 kg/m³

---

(2)
Here is a relaxed Er3TmAl4 crystal from Alexandria. Energies are from PBE.

```
8
Lattice="3.5616 0.0000 0.0000 0.0000 3.5616 0.0000 0.0000 0.0000 14.2323" Properties=species:S:1:pos:R:3 pbc="T T T"
Er 0.0000 0.0000 0.0000
Er 0.0000 0.0000 3.5701
Er 0.0000 0.0000 10.6622
Tm 0.0000 0.0000 7.1162
Al 1.7808 1.7808 1.7860
Al 1.7808 1.7808 5.3561
Al 1.7808 1.7808 8.8762
Al 1.7808 1.7808 12.4464
```

* energy: -4.534 eV/atom
* calculated formation energy: -0.39 eV per atom
* N(E_F): 3.6 states/eV/cell
* theoretical density: 7162 kg/m³

---

(3)
Here is a relaxed Li2CdI crystal from Alexandria. Energies are from PBE.

```
4
Lattice="0.0000 3.7316 3.7316 3.7316 0.0000 3.7316 3.7316 3.7316 0.0000" Properties=species:S:1:pos:R:3 pbc="T T T"
Li 1.8658 1.8658 1.8658
Li 5.5974 5.5974 5.5974
Cd 0.0000 0.0000 0.0000
I 3.7316 3.7316 3.7316
```

* energy: -1.876 eV/atom
* N(E_F): 1.5 states/eV/cell
* theoretical density: 4046 kg/m³
* formation energy without anion corrections: -0.303 eV/atom